DFT (PBE-GGA) results for a relaxed MnGaTe2I crystal.

CIF file:
```
data_MnGaTe2I
_symmetry_space_group_name_H-M 'P 4/m m m'
_symmetry_Int_Tables_number 123
_symmetry_space_group_name_Hall '-P 4 2'
_cell_length_a 5.4137
_cell_length_b 5.4137
_cell_length_c 5.5641
_cell_angle_alpha 90.00
_cell_angle_beta 90.00
_cell_angle_gamma 90.00
loop_
_atom_site_label
_atom_site_type_symbol
_atom_site_fract_x
_atom_site_fract_y
_atom_site_fract_z
_atom_site_occupancy
Mn1 Mn 0.0000 0.0000 0.0000 1
Ga1 Ga 0.5000 0.5000 0.5000 1
Te1 Te 0.0000 0.5000 0.5000 1
I1 I 0.5000 0.5000 0.0000 1
```

Properties
- Uncorrected energy: -3.495 eV/atom
- Formation energy (no corrections): 0.511 eV/atom